[1]
A plane-wave DFT calculation with PBE was carried out for a geometry-optimized ReTe2P structure.

* symmetry: F-43m, No. 216

Cell: 4.800 4.800 4.800 Å, 60.00 60.00 60.00°
Fractional positions:
Re 0.750 0.750 0.750
Te 0.000 0.000 0.000
Te 0.250 0.250 0.250
P 0.500 0.500 0.500


[2]
A plane-wave DFT calculation with PBE was carried out for a geometry-optimized Re2TeP structure.

* symmetry: Cm, No. 8

Cell: 4.424 4.424 5.549 Å, 78.14 78.14 41.37°
Fractional positions:
Re 0.991 0.991 0.119
Re 0.737 0.737 0.775
Te 0.495 0.495 0.525
P 0.278 0.278 0.082


[3]
A plane-wave DFT calculation with PBE was carried out for a geometry-optimized ReTe2P structure.

* symmetry: P4/mmm, No. 123

Cell: 4.885 4.885 3.268 Å, 90.00 90.00 90.00°
Fractional positions:
Re 0.000 0.000 0.500
Te 0.500 0.000 0.000
Te 0.000 0.500 0.000
P 0.500 0.500 0.500


[4]
A plane-wave DFT calculation with PBE was carried out for a geometry-optimized ReTe2P structure.

* symmetry: Cm, No. 8

Cell: 4.156 4.156 7.861 Å, 95.44 95.44 46.99°
Fractional positions:
Re 0.246 0.246 0.324
Te 0.923 0.923 0.099
Te 0.778 0.778 0.666
P 0.553 0.553 0.411


[5]
A plane-wave DFT calculation with PBE was carried out for a geometry-optimized Re2TeP structure.

* symmetry: Pmmm, No. 47

Cell: 3.103 4.182 5.183 Å, 90.00 90.00 90.00°
Fractional positions:
Re 0.000 0.000 0.000
Re 0.500 0.000 0.500
Te 0.500 0.500 0.000
P 0.000 0.500 0.500


[6]
A plane-wave DFT calculation with PBE was carried out for a geometry-optimized Re2TeP structure.

* symmetry: R-3m, No. 166

Cell: 7.992 7.992 7.992 Å, 22.37 22.37 22.37°
Fractional positions:
Re 0.740 0.740 0.740
Re 0.260 0.260 0.260
Te 0.500 0.500 0.500
P 0.000 0.000 0.000


[7]
A plane-wave DFT calculation with PBE was carried out for a geometry-optimized ReTe2P structure.

* symmetry: R-3m, No. 166

Cell: 9.646 9.646 9.646 Å, 19.33 19.33 19.33°
Fractional positions:
Re 0.000 0.000 0.000
Te 0.909 0.909 0.909
Te 0.091 0.091 0.091
P 0.500 0.500 0.500


[8]
A plane-wave DFT calculation with PBE was carried out for a geometry-optimized Re2TeP structure.

* symmetry: I-4m2, No. 119

Cell: 4.828 4.828 4.828 Å, 129.35 129.35 74.45°
Fractional positions:
Re 0.000 0.000 0.000
Re 0.250 0.750 0.500
Te 0.500 0.500 0.000
P 0.750 0.250 0.500


What did we get for energy relative to the elements, uncorrected? Answer: 991 192 963 191 1052 470 1155 857 meV/atom, in the order shown.